(1)
A relaxed structure of BeCoRe2Tc, computed with PBE.

a b c (Å): 4.6469 4.6469 4.3756
angles (deg): 90.00 90.00 90.00
Sites, in units of the cell vectors:
Be 0.0000 0.0000 0.0000
Co 0.5000 0.5000 0.0000
Re 0.0000 0.5000 0.5000
Re 0.5000 0.0000 0.5000
Tc 0.5000 0.5000 0.5000

Values from the calculation:
- calculated volume (Å³ per cell) = 94.5
- formation enthalpy at 0 K (meV per atom) = 2190
- symmetry = P4/mmm, No. 123
- polymorph energy (0 for the lowest one) (eV/atom) = 1.360

(2)
A relaxed structure of Be4Ag, computed with PBE.

a b c (Å): 4.2693 4.2693 4.2693
angles (deg): 90.00 90.00 90.00
Sites, in units of the cell vectors:
Be 0.0000 0.0000 0.0000
Be 0.0000 0.5000 0.5000
Be 0.5000 0.0000 0.5000
Be 0.5000 0.5000 0.0000
Ag 0.5000 0.5000 0.5000

Values from the calculation:
- calculated volume (Å³ per cell) = 77.8
- formation enthalpy at 0 K (meV per atom) = 1228
- symmetry = Pm-3m, No. 221
- polymorph energy (0 for the lowest one) (eV/atom) = 1.094

(3)
A relaxed structure of Ac12Co4Pd, computed with PBE.

a b c (Å): 9.4563 9.4563 9.4563
angles (deg): 109.84 109.36 109.21
Sites, in units of the cell vectors:
Ac 0.0260 0.8154 0.2106
Ac 0.1797 0.4708 0.2912
Ac 0.1797 0.8885 0.7088
Ac 0.3164 0.3090 0.6255
Ac 0.3164 0.6910 0.0074
Ac 0.3951 0.1846 0.2106
Ac 0.6049 0.8154 0.7894
Ac 0.6836 0.3090 0.9926
Ac 0.6836 0.6910 0.3745
Ac 0.8203 0.1115 0.2912
Ac 0.8203 0.5292 0.7088
Ac 0.9740 0.1846 0.7894
Co 0.0000 0.0000 0.5000
Co 0.0000 0.5000 0.0000
Co 0.5000 0.0000 0.0000
Co 0.5000 0.5000 0.5000
Pd 0.0000 0.0000 0.0000

Values from the calculation:
- calculated volume (Å³ per cell) = 650.9
- formation enthalpy at 0 K (meV per atom) = -14
- symmetry = Immm, No. 71

(4)
A relaxed structure of Ta3FeN, computed with PBE.

a b c (Å): 4.1826 4.1826 4.1826
angles (deg): 90.00 90.00 90.00
Sites, in units of the cell vectors:
Ta 0.0000 0.0000 0.5000
Ta 0.0000 0.5000 0.0000
Ta 0.5000 0.0000 0.0000
Fe 0.5000 0.5000 0.5000
N 0.0000 0.0000 0.0000

Values from the calculation:
- calculated volume (Å³ per cell) = 73.2
- E_form (uncorrected) (meV per atom) = -266
- symmetry = Pm-3m, No. 221

(5)
A relaxed structure of CsCa2ZnRh, computed with PBE.

a b c (Å): 5.5773 5.5773 5.2614
angles (deg): 90.00 90.00 90.00
Sites, in units of the cell vectors:
Cs 0.0000 0.0000 0.0000
Ca 0.0000 0.5000 0.5000
Ca 0.5000 0.0000 0.5000
Zn 0.5000 0.5000 0.0000
Rh 0.5000 0.5000 0.5000

Values from the calculation:
- calculated volume (Å³ per cell) = 163.7
- formation enthalpy at 0 K (meV per atom) = -65
- symmetry = P4/mmm, No. 123

(6)
A relaxed structure of AlGeI, computed with PBE.

a b c (Å): 4.0238 4.0246 11.3095
angles (deg): 90.65 90.25 93.76
Sites, in units of the cell vectors:
Al 0.0000 0.0000 0.0000
Al 0.0096 0.0147 0.3273
Ge 0.0006 0.5099 0.1854
Ge 0.5019 0.0096 0.1420
I 0.0001 0.4954 0.8339
I 0.5110 0.0184 0.4934

Values from the calculation:
- calculated volume (Å³ per cell) = 182.7
- E_form (uncorrected) (meV per atom) = -101
- symmetry = P1, No. 1
- polymorph energy (0 for the lowest one) (eV/atom) = 0.158